Computed, not measured: a PBEsol-optimized structure of AgTe2Ru at the SCAN level of DFT.

Geometry as POSCAR:
```
AgTe2Ru
1.0
-2.194 1.461 1.725
0.512 -2.797 3.021
5.455 4.421 0.319
Ag Te Ru
1 2 1
Direct
0.564 0.564 0.127 Ag
0.941 0.941 0.883 Te
0.717 0.217 0.435 Te
0.278 0.778 0.555 Ru
```

symmetry: Imm2, No. 44
raw formation energy: 0.17 eV per atom
distance to the lowest polymorph of the same formula: 0.000 eV per atom



Computed, not measured: a PBEsol-optimized structure of Si2MoIr at the SCAN level of DFT.

Geometry as POSCAR:
```
Si2MoIr
1.0
5.425 -0.043 0.000
-2.330 4.899 0.000
-1.547 -2.428 4.598
Si Ir Mo
4 2 2
Direct
0.898 0.875 0.523 Si
0.125 0.648 0.023 Si
0.352 0.375 0.477 Si
0.625 0.102 0.977 Si
0.250 0.750 0.500 Ir
0.000 0.000 0.000 Ir
0.500 0.500 0.000 Mo
0.750 0.250 0.500 Mo
```

symmetry: I-42d, No. 122
raw formation energy: 0.23 eV per atom



Computed, not measured: a PBEsol-optimized structure of Mg2BiSb at the SCAN level of DFT.

Geometry as POSCAR:
```
Mg2BiSb
1.0
-3.739 -1.664 -3.196
0.969 -3.850 -3.346
-2.146 -4.672 0.726
Mg Sb Bi
2 1 1
Direct
0.250 0.250 0.250 Mg
0.750 0.750 0.750 Mg
0.000 0.000 0.000 Sb
0.500 0.500 0.500 Bi
```

symmetry: Fm-3m, No. 225
raw formation energy: -0.09 eV per atom



Computed, not measured: a PBEsol-optimized structure of ZrAlHg at the SCAN level of DFT.

Geometry as POSCAR:
```
ZrAlHg
1.0
-2.456 1.940 -0.864
-2.922 -3.320 0.854
1.138 2.893 3.260
Zr Hg Al
1 1 1
Direct
0.500 0.667 0.333 Zr
0.000 0.333 0.667 Hg
0.000 0.000 0.000 Al
```

symmetry: P-6m2, No. 187
ΔH_f (0 K): -0.48 eV/atom



Computed, not measured: a PBEsol-optimized structure of Cr2RhBr at the SCAN level of DFT.

Geometry as POSCAR:
```
Cr2RhBr
1.0
2.898 0.000 0.000
1.449 2.510 0.000
1.449 0.837 7.778
Rh Cr Br
1 2 1
Direct
0.491 0.491 0.528 Rh
0.743 0.743 0.772 Cr
0.009 0.009 0.974 Cr
0.258 0.258 0.225 Br
```

symmetry: R3m, No. 160
raw formation energy: 0.51 eV per atom
distance to the lowest polymorph of the same formula: 0.127 eV per atom



Computed, not measured: a PBEsol-optimized structure of Al2TlTe at the SCAN level of DFT.

Geometry as POSCAR:
```
Al2TlTe
1.0
-0.887 4.840 -4.020
-4.209 2.561 4.012
7.001 -0.632 2.716
Te Al Tl
2 4 2
Direct
0.750 0.250 0.500 Te
0.500 0.500 0.000 Te
0.365 0.875 0.250 Al
0.625 0.635 0.750 Al
0.125 0.115 0.750 Al
0.885 0.375 0.250 Al
0.000 0.000 0.000 Tl
0.250 0.750 0.500 Tl
```

symmetry: I-42d, No. 122
raw formation energy: 0.11 eV per atom



Computed, not measured: a PBEsol-optimized structure of LaAl3Cu at the SCAN level of DFT.

Geometry as POSCAR:
```
LaAl3Cu
1.0
-3.366 2.280 -1.245
-0.005 -2.044 -3.729
-1.553 -3.797 4.508
Al La Cu
3 1 1
Direct
0.754 0.254 0.508 Al
0.596 0.596 0.192 Al
0.254 0.754 0.508 Al
0.003 0.003 0.006 La
0.369 0.369 0.739 Cu
```

symmetry: I4mm, No. 107
ΔH_f (0 K): -0.55 eV/atom



Computed, not measured: a PBEsol-optimized structure of ReTe4Cl at the SCAN level of DFT.

Geometry as POSCAR:
```
ReTe4Cl
1.0
-2.309 -1.519 5.463
-2.316 -5.596 0.896
2.957 -4.002 3.567
Te Re Cl
4 1 1
Direct
0.374 0.374 0.374 Te
0.374 0.877 0.374 Te
0.877 0.374 0.374 Te
0.374 0.374 0.877 Te
0.000 0.000 0.000 Re
0.750 0.750 0.750 Cl
```

symmetry: F-43m, No. 216
raw formation energy: 1.09 eV per atom



Computed, not measured: a PBEsol-optimized structure of PrTlP2S7 at the SCAN level of DFT.

Geometry as POSCAR:
```
PrTlP2S7
1.0
-6.441 4.745 4.039
-6.613 -5.374 -4.380
0.131 -7.800 9.372
S P Tl Pr
28 8 4 4
Direct
0.356 0.848 0.803 S
0.644 0.152 0.197 S
0.070 0.344 0.523 S
0.424 0.255 0.442 S
0.214 0.374 0.945 S
0.612 0.623 0.294 S
0.070 0.087 0.837 S
0.319 0.979 0.061 S
0.144 0.152 0.303 S
0.930 0.913 0.163 S
0.786 0.626 0.055 S
0.076 0.745 0.942 S
0.181 0.021 0.561 S
0.930 0.656 0.477 S
0.286 0.626 0.445 S
0.112 0.623 0.206 S
0.924 0.255 0.058 S
0.430 0.913 0.337 S
0.681 0.021 0.939 S
0.714 0.374 0.555 S
0.856 0.848 0.697 S
0.819 0.979 0.439 S
0.570 0.344 0.977 S
0.888 0.377 0.794 S
0.576 0.745 0.558 S
0.570 0.087 0.663 S
0.430 0.656 0.023 S
0.388 0.377 0.706 S
0.699 0.190 0.039 P
0.024 0.278 0.901 P
0.301 0.810 0.961 P
0.801 0.810 0.539 P
0.976 0.722 0.099 P
0.524 0.278 0.599 P
0.199 0.190 0.461 P
0.476 0.722 0.401 P
0.624 0.603 0.812 Tl
0.124 0.603 0.688 Tl
0.376 0.397 0.188 Tl
0.876 0.397 0.312 Tl
0.393 0.143 0.857 Pr
0.893 0.143 0.643 Pr
0.607 0.857 0.143 Pr
0.107 0.857 0.357 Pr
```

symmetry: P2_1/c, No. 14
raw formation energy: -0.90 eV per atom



Computed, not measured: a PBEsol-optimized structure of LiMgN3 at the SCAN level of DFT.

Geometry as POSCAR:
```
LiMgN3
1.0
-1.700 3.511 -0.984
-2.569 -1.924 -2.426
-2.588 -0.397 3.055
Li N Mg
1 3 1
Direct
0.500 0.500 0.500 Li
0.000 0.000 0.500 N
0.000 0.500 0.000 N
0.500 0.000 0.000 N
0.000 0.000 0.000 Mg
```

symmetry: Pm-3m, No. 221
raw formation energy: 1.39 eV per atom



Computed, not measured: a PBEsol-optimized structure of Fe3PO7 at the SCAN level of DFT.

Geometry as POSCAR:
```
Fe3PO7
1.0
-3.643 1.878 3.176
2.064 -3.784 2.882
3.653 3.667 0.300
O P Fe
7 1 3
Direct
0.853 0.168 0.168 O
0.768 0.768 0.768 O
0.168 0.853 0.168 O
0.611 0.611 0.229 O
0.229 0.611 0.611 O
0.168 0.168 0.853 O
0.611 0.229 0.611 O
0.996 0.996 0.996 P
0.848 0.456 0.456 Fe
0.456 0.848 0.456 Fe
0.456 0.456 0.848 Fe
```

symmetry: R3m, No. 160
raw formation energy: -1.89 eV per atom



Computed, not measured: a PBEsol-optimized structure of SrLa2Sb at the SCAN level of DFT.

Geometry as POSCAR:
```
SrLa2Sb
1.0
-2.523 1.154 3.331
-3.935 -0.426 -2.834
0.449 -6.706 0.385
La Sb Sr
2 1 1
Direct
0.598 0.500 0.223 La
0.976 0.000 0.088 La
0.681 0.000 0.522 Sb
0.244 0.500 0.668 Sr
```

symmetry: Pm, No. 6
raw formation energy: -0.51 eV per atom